[1]
# NbV2Sb | the Alexandria database | PBE-GGA | relaxed
data_NbV2Sb
_cell_length_a 4.252
_cell_length_b 4.252
_cell_length_c 3.635
_cell_angle_alpha 90.00
_cell_angle_beta 90.00
_cell_angle_gamma 90.00
_symmetry_space_group_name_H-M 'P 1'
_symmetry_Int_Tables_number 1
_symmetry_space_group_name_Hall 'P 1'
loop_
_atom_site_label
_atom_site_type_symbol
_atom_site_fract_x
_atom_site_fract_y
_atom_site_fract_z
Nb1 Nb 0.000 0.000 0.000
V1 V 0.000 0.500 0.500
V2 V 0.500 0.000 0.500
Sb1 Sb 0.500 0.500 0.000
# * space-group type: P4/mmm
# * VASP energy: -0.301 Ha/atom
# * crystal system: tetragonal

---

[2]
# NdDy8Ho2 | the Alexandria database | PBE-GGA | relaxed
data_NdDy8Ho2
_cell_length_a 9.343
_cell_length_b 9.343
_cell_length_c 9.343
_cell_angle_alpha 145.75
_cell_angle_beta 128.55
_cell_angle_gamma 63.27
_symmetry_space_group_name_H-M 'P 1'
_symmetry_Int_Tables_number 1
_symmetry_space_group_name_Hall 'P 1'
loop_
_atom_site_label
_atom_site_type_symbol
_atom_site_fract_x
_atom_site_fract_y
_atom_site_fract_z
Nd1 Nd 0.000 0.000 0.000
Dy1 Dy 0.154 0.861 0.293
Dy2 Dy 0.164 0.664 0.500
Dy3 Dy 0.295 0.500 0.795
Dy4 Dy 0.433 0.139 0.293
Dy5 Dy 0.567 0.861 0.707
Dy6 Dy 0.705 0.500 0.205
Dy7 Dy 0.836 0.336 0.500
Dy8 Dy 0.846 0.139 0.707
Ho1 Ho 0.301 0.301 0.000
Ho2 Ho 0.699 0.699 0.000
# * relative energy among the computed polymorphs: 0.0 meV/atom
# * space-group type: Immm
# * VASP energy: -0.165 Ha/atom
# * crystal system: orthorhombic
# * E_form: 0.115 eV/atom